Here is a geometry-optimized Sm4Ge3Rh structure from Alexandria via LeMat-Bulk. Energies are from GGA-PBE.

a b c (Å): 4.2939 4.0896 10.9561
angles (deg): 90.00 90.00 90.00
Closest atoms and distances in Å follow each position.
Sites, in units of the cell vectors:
Ge 0.0000 0.5000 0.5824  2 Ge 2.70
Ge 0.0000 0.0000 0.4216  2 Ge 2.70
Sm 0.5000 0.5000 0.3528  1 Rh 3.00, 6 Ge 3.06-3.31
Sm 0.0000 0.0000 0.1351  4 Rh 3.03, 3 Ge 3.14-3.17
Rh 0.5000 0.5000 0.0788  2 Ge 2.67
Sm 0.5000 0.0000 0.6412  7 Ge 3.03-3.22
Ge 0.5000 0.0000 0.9225  2 Rh 2.67
Sm 0.0000 0.5000 0.8655  5 Ge 3.03-3.10, 2 Rh 3.17

Values from the calculation:
As for the volume: 192.4 Å³/cell. The value obtained for the energy relative to the elements is -0.818 eV per atom.